# Pr2SmHoSe4 PBE-GGA optimized geometry
data_Pr2SmHoSe4
_chemical_formula_sum 'Pr2 Sm1 Ho1 Se4'
_cell_length_a 7.220
_cell_length_b 4.122
_cell_length_c 7.385
_cell_angle_alpha 90.00
_cell_angle_beta 108.63
_cell_angle_gamma 90.00
_symmetry_space_group_name_H-M 'P 1 2/m 1'
_symmetry_Int_Tables_number 10
_symmetry_space_group_name_Hall '-P 2y'
loop_
_atom_site_label
_atom_site_type_symbol
_atom_site_fract_x
_atom_site_fract_y
_atom_site_fract_z
Pr1 Pr 0.000 0.000 0.000
Pr2 Pr 0.500 0.500 0.000
Sm1 Sm 0.000 0.500 0.500
Ho1 Ho 0.500 0.000 0.500
Se1 Se 0.251 0.000 0.738
Se2 Se 0.261 0.500 0.266
# total DFT energy (no corrections) = -47.259 eV for the cell shown
# magnetic moment = 0.000 μB per formula unit
# Fermi-level density of states = 0.55 states/eV/atom